# 1
The following is a DFT calculation (PBE) of crystalline LaInGa2Cu at its relaxed geometry.

a b c (Å): 4.424 4.354 6.305
angles (deg): 110.20 110.54 90.00
Sites, in units of the cell vectors:
1 Ga 0.701 0.201 0.402
2 Ga 0.040 0.040 0.079
3 La 0.451 0.451 0.902
4 Cu 0.822 0.822 0.644
5 In 0.199 0.699 0.398

Calculated values
N(E_F)   1.2 states/eV/f.u.
DFT formation energy   -0.4838 eV per atom
Uncorrected energy   -20.2 eV for the cell shown
V   21.1 Å³/atom
Space group   Imm2 (44)
Total moment   0.0 Bohr magnetons per cell



# 2
The following is a DFT calculation (PBE) of crystalline NiOs3 at its relaxed geometry.

a b c (Å): 2.711 2.711 7.395
angles (deg): 90.00 90.00 90.00
Sites, in units of the cell vectors:
1 Os 0.000 0.000 0.500
2 Os 0.500 0.500 0.759
3 Os 0.500 0.500 0.241
4 Ni 0.000 0.000 0.000

Calculated values
N(E_F)   5.4 states/eV/f.u.
DFT formation energy   0.2016 eV per atom
Uncorrected energy   -38.7 eV for the cell shown
V   13.6 Å³/atom
Space group   P4/mmm (123)
Total moment   0.0 Bohr magnetons per cell



# 3
The following is a DFT calculation (PBE) of crystalline Li2ScInRu at its relaxed geometry.

a b c (Å): 4.932 4.517 4.932
angles (deg): 90.00 90.00 90.00
Sites, in units of the cell vectors:
1 Li 0.000 0.000 0.500
2 Li 0.500 0.000 0.000
3 Ru 0.000 0.500 0.000
4 In 0.500 0.500 0.500
5 Sc 0.000 0.000 0.000

Calculated values
N(E_F)   3.0 states/eV/f.u.
DFT formation energy   0.6896 eV per atom
Uncorrected energy   -18.7 eV for the cell shown
V   22.0 Å³/atom
Space group   P4/mmm (123)
Total moment   0.0 Bohr magnetons per cell



# 4
The following is a DFT calculation (PBE) of crystalline IrRh6W at its relaxed geometry.

a b c (Å): 5.155 5.155 5.155
angles (deg): 89.50 89.50 89.50
Sites, in units of the cell vectors:
1 Rh 0.829 0.829 0.443
2 Rh 0.171 0.557 0.171
3 Rh 0.443 0.829 0.829
4 Rh 0.171 0.171 0.557
5 Rh 0.829 0.443 0.829
6 Rh 0.557 0.171 0.171
7 Ir 0.000 0.000 0.000
8 W 0.500 0.500 0.500

Calculated values
N(E_F)   12.6 states/eV/f.u.
DFT formation energy   0.6545 eV per atom
Uncorrected energy   -60.7 eV for the cell shown
V   17.1 Å³/atom
Space group   R-3m (166)
Total moment   0.0 Bohr magnetons per cell



# 5
The following is a DFT calculation (PBE) of crystalline Hf3TiAs at its relaxed geometry.

a b c (Å): 4.900 4.900 4.900
angles (deg): 90.00 90.00 90.00
Sites, in units of the cell vectors:
1 Hf 0.000 0.000 0.500
2 Hf 0.500 0.000 0.000
3 Hf 0.000 0.500 0.000
4 As 0.500 0.500 0.500
5 Ti 0.000 0.000 0.000

Calculated values
N(E_F)   7.2 states/eV/f.u.
DFT formation energy   0.8992 eV per atom
Uncorrected energy   -37.9 eV for the cell shown
V   23.5 Å³/atom
Space group   Pm-3m (221)
Total moment   0.0 Bohr magnetons per cell



# 6
The following is a DFT calculation (PBE) of crystalline GaNiAu at its relaxed geometry.

a b c (Å): 2.931 2.931 10.133
angles (deg): 90.00 90.00 90.00
Sites, in units of the cell vectors:
1 Ga 0.500 0.500 0.475
2 Ga 0.500 0.500 0.765
3 Ni 0.000 0.000 0.345
4 Ni 0.000 0.000 0.622
5 Au 0.000 0.000 0.953
6 Au 0.500 0.500 0.168

Calculated values
N(E_F)   1.8 states/eV/f.u.
DFT formation energy   -0.1960 eV per atom
Uncorrected energy   -25.3 eV for the cell shown
V   14.5 Å³/atom
Space group   P4mm (99)
Total moment   0.0 Bohr magnetons per cell



# 7
The following is a DFT calculation (PBE) of crystalline Li2Al2Bi at its relaxed geometry.

a b c (Å): 7.979 7.979 3.178
angles (deg): 90.00 90.00 90.00
Sites, in units of the cell vectors:
1 Al 0.617 0.117 0.000
2 Al 0.117 0.383 0.000
3 Al 0.883 0.617 0.000
4 Al 0.383 0.883 0.000
5 Li 0.678 0.822 0.500
6 Li 0.822 0.322 0.500
7 Li 0.178 0.678 0.500
8 Li 0.322 0.178 0.500
9 Bi 0.000 0.000 0.000
10 Bi 0.500 0.500 0.000

Calculated values
N(E_F)   1.5 states/eV/f.u.
DFT formation energy   -0.0459 eV per atom
Uncorrected energy   -30.8 eV for the cell shown
V   20.2 Å³/atom
Space group   P4/mbm (127)
Total moment   0.0 Bohr magnetons per cell



# 8
The following is a DFT calculation (PBE) of crystalline CaSiAs at its relaxed geometry.

a b c (Å): 4.401 4.401 4.102
angles (deg): 90.00 90.00 120.00
Sites, in units of the cell vectors:
1 Ca 0.667 0.333 0.333
2 Si 0.333 0.667 0.833
3 As 0.000 0.000 0.833

Calculated values
N(E_F)   1.2 states/eV/f.u.
E_form (uncorrected)   -0.41 eV/atom
Uncorrected energy   -13.3 eV for the cell shown
V   22.9 Å³/atom
Space group   P-6m2 (187)
Total moment   0.0 Bohr magnetons per cell



# 9
The following is a DFT calculation (PBE) of crystalline LaTh2CrN5 at its relaxed geometry.

a b c (Å): 6.824 6.824 7.422
angles (deg): 117.37 117.37 90.00
Each line ends with the local moment (μB).
Sites, in units of the cell vectors:
1 N 0.712 0.212 0.709  -0.01
2 N 0.000 0.000 0.000  0.00
3 N 0.788 0.003 0.291  -0.01
4 N 0.003 0.503 0.291  -0.01
5 N 0.997 0.497 0.709  -0.01
6 N 0.500 0.500 0.000  0.00
7 N 0.212 0.997 0.709  -0.01
8 N 0.503 0.288 0.291  -0.01
9 N 0.497 0.712 0.709  -0.01
10 N 0.288 0.788 0.291  -0.01
11 La 0.750 0.750 0.500  0.03
12 La 0.250 0.250 0.500  0.03
13 Cr 0.250 0.750 0.500  0.77
14 Cr 0.750 0.250 0.500  0.77
15 Th 0.824 0.676 0.000  0.06
16 Th 0.176 0.324 0.000  0.06
17 Th 0.676 0.176 0.000  0.06
18 Th 0.324 0.824 0.000  0.06

Calculated values
N(E_F)   3.0 states/eV/f.u.
E_form (uncorrected)   -1.33 eV/atom
Uncorrected energy   -166.0 eV for the cell shown
V   14.6 Å³/atom
Space group   I4/mcm (140)
Total moment   2.0 Bohr magnetons per cell



# 10
The following is a DFT calculation (PBE) of crystalline HoSi2Ni5 at its relaxed geometry.

a b c (Å): 3.572 5.886 5.886
angles (deg): 68.03 72.33 72.33
Sites, in units of the cell vectors:
1 Ni 0.000 0.500 0.500
2 Ni 0.648 0.163 0.541
3 Ni 0.648 0.541 0.163
4 Ni 0.352 0.459 0.837
5 Ni 0.352 0.837 0.459
6 Ho 0.000 0.000 0.000
7 Si 0.246 0.254 0.254
8 Si 0.754 0.746 0.746

Calculated values
N(E_F)   4.3 states/eV/f.u.
E_form (uncorrected)   -0.61 eV/atom
Uncorrected energy   -49.2 eV for the cell shown
V   13.3 Å³/atom
Space group   Immm (71)
Total moment   0.0 Bohr magnetons per cell



# 11
The following is a DFT calculation (PBE) of crystalline Tb4ScBi at its relaxed geometry.

a b c (Å): 5.176 5.177 7.721
angles (deg): 89.95 89.97 90.00
Sites, in units of the cell vectors:
1 Bi 0.501 0.497 0.998
2 Tb 0.501 0.998 0.735
3 Tb 0.501 0.997 0.262
4 Tb 0.001 0.497 0.262
5 Tb 0.002 0.497 0.735
6 Sc 0.001 0.997 0.498

Calculated values
N(E_F)   7.5 states/eV/f.u.
DFT formation energy   0.1475 eV per atom
Uncorrected energy   -27.8 eV for the cell shown
V   34.5 Å³/atom
Space group   C2/m (12)
Total moment   0.0 Bohr magnetons per cell



# 12
The following is a DFT calculation (PBE) of crystalline TbNdY2 at its relaxed geometry.

a b c (Å): 3.599 3.599 11.877
angles (deg): 81.29 81.29 60.00
Sites, in units of the cell vectors:
1 Nd 0.000 0.000 0.000
2 Y 0.249 0.249 0.253
3 Y 0.751 0.751 0.747
4 Tb 0.500 0.500 0.500

Calculated values
N(E_F)   5.5 states/eV/f.u.
DFT formation energy   0.0163 eV per atom
Uncorrected energy   -22.3 eV for the cell shown
V   32.8 Å³/atom
Space group   R-3m (166)
Total moment   0.0 Bohr magnetons per cell



# 13
The following is a DFT calculation (PBE) of crystalline Zr4ZnIr3 at its relaxed geometry.

a b c (Å): 4.671 4.671 8.253
angles (deg): 73.56 73.56 60.00
Sites, in units of the cell vectors:
1 Ir 0.739 0.739 0.783
2 Ir 0.500 0.500 0.500
3 Ir 0.261 0.261 0.217
4 Zr 0.621 0.621 0.137
5 Zr 0.379 0.379 0.863
6 Zr 0.872 0.872 0.383
7 Zr 0.128 0.128 0.617
8 Zn 0.000 0.000 0.000

Calculated values
N(E_F)   6.9 states/eV/f.u.
DFT formation energy   -0.6716 eV per atom
Uncorrected energy   -67.4 eV for the cell shown
V   18.4 Å³/atom
Space group   R-3m (166)
Total moment   0.0 Bohr magnetons per cell



# 14
The following is a DFT calculation (PBE) of crystalline Rb2LiAg2Cl6 at its relaxed geometry.

a b c (Å): 7.005 7.769 7.587
angles (deg): 115.28 90.00 116.80
Sites, in units of the cell vectors:
1 Cl 0.318 0.106 0.785
2 Cl 0.682 0.894 0.215
3 Cl 0.212 0.894 0.215
4 Cl 0.788 0.106 0.785
5 Cl 0.737 0.474 0.645
6 Cl 0.263 0.526 0.355
7 Ag 0.932 0.865 0.763
8 Ag 0.068 0.135 0.237
9 Rb 0.731 0.462 0.197
10 Rb 0.269 0.538 0.803
11 Li 0.500 0.000 0.500

Calculated values
N(E_F)   7.5 states/eV/f.u.
E_form (uncorrected)   -1.16 eV/atom
Uncorrected energy   -33.4 eV for the cell shown
V   29.4 Å³/atom
Space group   C2/m (12)
Total moment   0.0 Bohr magnetons per cell



# 15
The following is a DFT calculation (PBE) of crystalline BaV2Br at its relaxed geometry.

a b c (Å): 4.520 4.520 10.699
angles (deg): 77.80 77.80 90.00
Sites, in units of the cell vectors:
1 V 0.401 0.125 0.250
2 V 0.375 0.599 0.750
3 V 0.349 0.625 0.250
4 V 0.875 0.651 0.750
5 Br 0.250 0.750 0.500
6 Br 0.500 0.500 0.000
7 Ba 0.000 0.000 0.000
8 Ba 0.750 0.250 0.500

Calculated values
N(E_F)   5.9 states/eV/f.u.
E_form (uncorrected)   0.63 eV/atom
Uncorrected energy   -38.6 eV for the cell shown
V   26.1 Å³/atom
Space group   I-42d (122)
Total moment   0.0 Bohr magnetons per cell



# 16
The following is a DFT calculation (PBE) of crystalline AgPdCl2 at its relaxed geometry.

a b c (Å): 5.444 5.444 7.783
angles (deg): 69.53 69.53 90.00
Each line ends with the local moment (μB).
Sites, in units of the cell vectors:
1 Pd 0.500 0.500 0.000  0.70
2 Pd 0.250 0.750 0.500  0.69
3 Ag 0.750 0.250 0.500  0.03
4 Ag 0.000 0.000 0.000  0.03
5 Cl 0.147 0.625 0.250  0.09
6 Cl 0.875 0.853 0.750  0.09
7 Cl 0.603 0.125 0.250  0.10
8 Cl 0.375 0.397 0.750  0.10

Calculated values
N(E_F)   0.7 states/eV/f.u.
E_form (uncorrected)   -0.12 eV/atom
Uncorrected energy   -24.4 eV for the cell shown
V   25.1 Å³/atom
Space group   I-42d (122)
Total moment   2.0 Bohr magnetons per cell



# 17
The following is a DFT calculation (PBE) of crystalline RuSN3 at its relaxed geometry.

a b c (Å): 3.507 3.507 3.507
angles (deg): 90.00 90.00 90.00
Sites, in units of the cell vectors:
1 S 0.000 0.000 0.000
2 N 0.000 0.000 0.500
3 N 0.500 0.000 0.000
4 N 0.000 0.500 0.000
5 Ru 0.500 0.500 0.500

Calculated values
N(E_F)   2.1 states/eV/f.u.
E_form (uncorrected)   1.92 eV/atom
Uncorrected energy   -28.8 eV for the cell shown
V   8.6 Å³/atom
Space group   Pm-3m (221)
Total moment   0.0 Bohr magnetons per cell



# 18
The following is a DFT calculation (PBE) of crystalline SiTcN2F at its relaxed geometry.

a b c (Å): 3.704 3.704 3.527
angles (deg): 90.00 90.00 90.00
Each line ends with the local moment (μB).
Sites, in units of the cell vectors:
1 N 0.000 0.500 0.000  -0.01
2 N 0.500 0.000 0.000  -0.01
3 F 0.000 0.000 0.500  0.07
4 Si 0.000 0.000 0.000  0.01
5 Tc 0.500 0.500 0.500  3.04

Calculated values
N(E_F)   1.1 states/eV/f.u.
E_form (uncorrected)   0.07 eV/atom
Uncorrected energy   -34.0 eV for the cell shown
V   9.7 Å³/atom
Space group   P4/mmm (123)
Total moment   3.4 Bohr magnetons per cell



# 19
The following is a DFT calculation (PBE) of crystalline Ba2ScTa at its relaxed geometry.

a b c (Å): 6.274 6.274 6.274
angles (deg): 133.42 133.42 67.99
Sites, in units of the cell vectors:
1 Ba 0.000 0.000 0.000
2 Ba 0.500 0.500 0.000
3 Ta 0.750 0.250 0.500
4 Sc 0.250 0.750 0.500

Calculated values
N(E_F)   6.2 states/eV/f.u.
DFT formation energy   1.0242 eV per atom
Uncorrected energy   -17.9 eV for the cell shown
V   32.0 Å³/atom
Space group   I4/mmm (139)
Total moment   0.0 Bohr magnetons per cell



# 20
The following is a DFT calculation (PBE) of crystalline Na3Ho3VSe8 at its relaxed geometry.

a b c (Å): 8.021 8.021 8.500
angles (deg): 118.17 90.00 120.00
Each line ends with the local moment (μB).
Sites, in units of the cell vectors:
1 Ho 0.500 0.000 0.500  0.00
2 Ho 0.500 0.500 0.500  0.00
3 Ho 0.000 0.500 0.500  0.00
4 Na 0.000 0.500 0.000  0.00
5 Na 0.500 0.500 0.000  0.00
6 Na 0.000 0.000 0.000  0.00
7 Se 0.256 0.513 0.269  -0.02
8 Se 0.744 0.487 0.731  -0.02
9 Se 0.777 0.011 0.288  -0.04
10 Se 0.777 0.553 0.288  -0.04
11 Se 0.223 0.989 0.712  -0.04
12 Se 0.223 0.447 0.712  -0.04
13 Se 0.235 0.011 0.288  -0.04
14 Se 0.765 0.989 0.712  -0.04
15 V 0.000 0.000 0.500  1.23

Calculated values
N(E_F)   6.5 states/eV/f.u.
E_form (uncorrected)   -1.43 eV/atom
Uncorrected energy   -76.1 eV for the cell shown
V   26.5 Å³/atom
Space group   R-3m (166)
Total moment   1.0 Bohr magnetons per cell